No. 1
LaSeO3F: optimized geometry, PBE-GGA.

Structure (POSCAR):
```
LaSeO3F
1.0
7.225 0.000 0.000
0.000 8.551 -0.014
0.000 2.136 18.210
La Se O F
12 12 36 12
Direct
0.668 0.381 0.154 La
0.677 0.197 0.955 La
0.823 0.697 0.955 La
0.168 0.119 0.846 La
0.832 0.881 0.154 La
0.178 0.188 0.549 La
0.678 0.312 0.451 La
0.322 0.688 0.549 La
0.177 0.303 0.045 La
0.332 0.619 0.846 La
0.323 0.803 0.045 La
0.822 0.812 0.451 La
0.903 0.093 0.303 Se
0.679 0.023 0.600 Se
0.826 0.475 0.805 Se
0.179 0.477 0.400 Se
0.403 0.407 0.697 Se
0.674 0.975 0.805 Se
0.321 0.977 0.400 Se
0.097 0.907 0.697 Se
0.174 0.525 0.195 Se
0.597 0.593 0.303 Se
0.821 0.523 0.600 Se
0.326 0.025 0.195 Se
0.982 0.591 0.848 O
0.110 0.715 0.168 O
0.018 0.409 0.152 O
0.092 0.636 0.438 O
0.890 0.285 0.832 O
0.390 0.215 0.168 O
0.518 0.091 0.848 O
0.747 0.625 0.229 O
0.640 0.472 0.865 O
0.931 0.893 0.302 O
0.350 0.435 0.467 O
0.737 0.586 0.381 O
0.030 0.321 0.424 O
0.753 0.125 0.229 O
0.650 0.565 0.533 O
0.470 0.821 0.424 O
0.247 0.875 0.771 O
0.150 0.935 0.467 O
0.237 0.914 0.619 O
0.592 0.864 0.562 O
0.530 0.179 0.576 O
0.408 0.136 0.438 O
0.360 0.528 0.135 O
0.263 0.414 0.619 O
0.253 0.375 0.771 O
0.850 0.065 0.533 O
0.431 0.607 0.698 O
0.610 0.785 0.832 O
0.140 0.028 0.135 O
0.908 0.364 0.562 O
0.860 0.972 0.865 O
0.763 0.086 0.381 O
0.970 0.679 0.576 O
0.482 0.909 0.152 O
0.069 0.107 0.698 O
0.569 0.393 0.302 O
0.284 0.350 0.915 F
0.507 0.349 0.036 F
0.216 0.850 0.915 F
0.716 0.650 0.085 F
0.007 0.151 0.964 F
0.993 0.849 0.036 F
0.854 0.416 0.002 F
0.646 0.916 0.002 F
0.784 0.150 0.085 F
0.146 0.584 0.998 F
0.493 0.651 0.964 F
0.354 0.084 0.998 F
```

The total energy is -39.56 eV per formula unit. As for the space group: P2_1/c (14). The uncorrected formation energy comes out at -1389 kJ/mol of formula units. Its volume is 1125.2 Å³/cell. The density of states at the Fermi level comes out at 0.00 states/eV/f.u.

***

No. 2
NdDyTh2: optimized geometry, PBE-GGA.

Structure (POSCAR):
```
NdDyTh2
1.0
5.171 0.000 0.000
0.000 5.027 0.000
0.000 0.000 5.027
Nd Th Dy
1 2 1
Direct
0.500 0.000 0.000 Nd
0.000 0.000 0.500 Th
0.000 0.500 0.000 Th
0.500 0.500 0.500 Dy
```

The total energy is -23.93 eV per formula unit. As for the space group: P4/mmm (123). Its volume is 130.7 Å³/cell. The density of states at the Fermi level comes out at 6.15 states/eV/f.u. For the energy above the lowest structure with this stoichiometry, the calculation gives 40 meV per atom.

***

No. 3
Ca2ScH: optimized geometry, PBE-GGA.

Structure (POSCAR):
```
Ca2ScH
1.0
-4.152 0.160 5.599
5.506 -1.162 4.116
1.325 3.832 5.214
Sc H Ca
2 2 4
Direct
0.000 0.000 0.000 Sc
0.750 0.250 0.500 Sc
0.500 0.500 0.000 H
0.250 0.750 0.500 H
0.473 0.125 0.250 Ca
0.277 0.625 0.250 Ca
0.375 0.527 0.750 Ca
0.875 0.723 0.750 Ca
```

The total energy is -13.34 eV per formula unit. As for the space group: I-42d (122). Its volume is 213.7 Å³/cell. The density of states at the Fermi level comes out at 4.46 states/eV/f.u. For the energy above the lowest structure with this stoichiometry, the calculation gives 0 meV per atom.

***

No. 4
HfFeSb2: optimized geometry, PBE-GGA.

Structure (POSCAR):
```
HfFeSb2
1.0
0.000 3.398 3.398
3.398 0.000 3.398
3.398 3.398 0.000
Sb Hf Fe
2 1 1
Direct
0.250 0.250 0.250 Sb
0.750 0.750 0.750 Sb
0.500 0.500 0.500 Hf
0.000 0.000 0.000 Fe
```

The total energy is -25.68 eV per formula unit. As for the space group: Fm-3m (225). The uncorrected formation energy comes out at 95 kJ/mol of formula units. Its volume is 78.4 Å³/cell. The density of states at the Fermi level comes out at 8.32 states/eV/f.u. For the energy above the lowest structure with this stoichiometry, the calculation gives 0 meV per atom.

***

No. 5
CrSb2Cl: optimized geometry, PBE-GGA.

Structure (POSCAR):
```
CrSb2Cl
1.0
5.807 0.000 0.000
0.000 5.807 0.000
2.903 2.903 7.539
Sb Cl Cr
4 2 2
Direct
0.712 0.125 0.250 Sb
0.038 0.625 0.250 Sb
0.375 0.288 0.750 Sb
0.875 0.962 0.750 Sb
0.500 0.500 0.000 Cl
0.250 0.750 0.500 Cl
0.000 0.000 0.000 Cr
0.750 0.250 0.500 Cr
```

The total energy is -18.26 eV per formula unit. As for the space group: I-42d (122). The uncorrected formation energy comes out at 140 kJ/mol of formula units. Its volume is 254.2 Å³/cell. The density of states at the Fermi level comes out at 3.21 states/eV/f.u. For the energy above the lowest structure with this stoichiometry, the calculation gives 469 meV per atom.

***

No. 6
Tb2Sm6Er: optimized geometry, PBE-GGA.

Structure (POSCAR):
```
Tb2Sm6Er
1.0
-2.284 -2.825 0.230
6.564 -4.842 5.729
0.241 0.613 9.946
Tb Sm Er
2 6 1
Direct
0.500 0.178 0.178 Tb
0.500 0.822 0.822 Tb
0.000 0.512 0.159 Sm
0.000 0.841 0.488 Sm
0.000 0.488 0.841 Sm
0.500 0.685 0.315 Sm
0.000 0.159 0.512 Sm
0.500 0.315 0.685 Sm
0.000 0.000 0.000 Er
```

The total energy is -40.94 eV per formula unit. As for the space group: Cmmm (65). Its volume is 299.7 Å³/cell. The density of states at the Fermi level comes out at 12.22 states/eV/f.u. For the energy above the lowest structure with this stoichiometry, the calculation gives 0 meV per atom.

***

No. 7
TmTh2N: optimized geometry, PBE-GGA.

Structure (POSCAR):
```
TmTh2N
1.0
3.507 0.000 0.000
1.754 3.037 0.000
1.754 1.012 9.730
Tm Th N
1 2 1
Direct
0.000 0.000 0.000 Tm
0.116 0.116 0.653 Th
0.884 0.884 0.347 Th
0.500 0.500 0.500 N
```

The total energy is -29.42 eV per formula unit. As for the space group: R-3m (166). The uncorrected formation energy comes out at -172 kJ/mol of formula units. Its volume is 103.7 Å³/cell. The density of states at the Fermi level comes out at 4.86 states/eV/f.u.

***

No. 8
Ag2SbPb: optimized geometry, PBE-GGA.

Structure (POSCAR):
```
Ag2SbPb
1.0
5.171 0.000 0.000
2.586 4.478 0.000
2.586 1.493 4.222
Pb Sb Ag
1 1 2
Direct
0.500 0.500 0.500 Pb
0.750 0.750 0.750 Sb
0.000 0.000 0.000 Ag
0.250 0.250 0.250 Ag
```

The total energy is -12.77 eV per formula unit. As for the space group: F-43m (216). The uncorrected formation energy comes out at 73 kJ/mol of formula units. Its volume is 97.8 Å³/cell. The density of states at the Fermi level comes out at 2.09 states/eV/f.u.

***

No. 9
AgIr2W: optimized geometry, PBE-GGA.

Structure (POSCAR):
```
AgIr2W
1.0
-2.491 8.636 3.254
-4.680 8.178 1.613
-4.665 7.204 4.210
Ir Ag W
2 1 1
Direct
0.997 0.997 0.997 Ir
0.249 0.249 0.249 Ir
0.749 0.749 0.749 Ag
0.505 0.505 0.505 W
```

The total energy is -32.66 eV per formula unit. As for the space group: R3m (160). Its volume is 62.8 Å³/cell. The density of states at the Fermi level comes out at 5.72 states/eV/f.u. For the energy above the lowest structure with this stoichiometry, the calculation gives 214 meV per atom.

***

No. 10
YV3Co: optimized geometry, PBE-GGA.

Structure (POSCAR):
```
YV3Co
1.0
4.584 0.000 0.000
0.000 4.584 0.000
0.000 0.000 4.584
Y Co V
1 1 3
Direct
0.000 0.000 0.000 Y
0.500 0.500 0.500 Co
0.000 0.500 0.000 V
0.000 0.000 0.500 V
0.500 0.000 0.000 V
```

The total energy is -29.38 eV per formula unit. As for the space group: Pm-3m (221). Its volume is 96.3 Å³/cell. The density of states at the Fermi level comes out at 8.59 states/eV/f.u. For the energy above the lowest structure with this stoichiometry, the calculation gives 1799 meV per atom.

***

Which value of volume does entry 3 give?
213.7 Å³/cell

***

The highest volume belongs to which entry?
LaSeO3F

***

Which of these has the lowest volume?
AgIr2W